1.
Material: TaInReNi
Method: DFT, GGA-PBE
State: optimized geometry

```
data_TaInReNi
_cell_length_a 4.510
_cell_length_b 4.510
_cell_length_c 4.510
_cell_angle_alpha 60.00
_cell_angle_beta 60.00
_cell_angle_gamma 60.00
_space_group_name_H-M_alt 'P 1'
_space_group_IT_number 1
loop_
_space_group_symop_operation_xyz
'x,y,z'
loop_
_atom_site_label
_atom_site_type_symbol
_atom_site_fract_x
_atom_site_fract_y
_atom_site_fract_z
Ta1 Ta 0.000 0.000 0.000
In1 In 0.250 0.250 0.250
Re1 Re 0.750 0.750 0.750
Ni1 Ni 0.500 0.500 0.500
```

## Properties
**Total moment**: 0.01 μB per cell
**Total energy**: -7.79 eV/atom

=====

2.
Material: PrCo2P2
Method: DFT, GGA-PBE
State: optimized geometry

```
data_PrCo2P2
_cell_length_a 5.635
_cell_length_b 5.635
_cell_length_c 5.635
_cell_angle_alpha 139.34
_cell_angle_beta 139.34
_cell_angle_gamma 58.85
_space_group_name_H-M_alt 'P 1'
_space_group_IT_number 1
loop_
_space_group_symop_operation_xyz
'x,y,z'
loop_
_atom_site_label
_atom_site_type_symbol
_atom_site_fract_x
_atom_site_fract_y
_atom_site_fract_z
Pr1 Pr 0.000 0.000 0.000
Co1 Co 0.250 0.750 0.500
Co2 Co 0.750 0.250 0.500
P1 P 0.364 0.364 0.000
P2 P 0.636 0.636 0.000
```

## Properties
**Total moment**: 1.36 μB per cell
**Total energy**: -6.92 eV/atom